Record 1
Here is crystalline PrSm4Ho8 at its relaxed geometry from the Alexandria database. Energies are from GGA-PBE.

The structure in extended XYZ format:
```
13
Lattice="-9.2141 6.0344 -0.5484 1.9172 -7.8329 -7.5222 3.3812 -4.4175 5.4617" Properties=species:S:1:pos:R:3 pbc="T T T"
Ho -6.9466 -0.9818 -4.9685
Ho -1.5205 -2.1532 1.8546
Ho -2.3951 -4.0628 -4.4635
Pr 2.6492 -6.1252 -1.0303
Sm -4.6070 3.0172 -0.2742
Ho 4.0319 -9.3236 -1.5677
Ho 3.0310 -5.2342 2.3596
Sm -3.6484 -0.8992 -4.0353
Sm 0.0000 0.0000 0.0000
Ho -3.1371 -0.0428 -0.7550
Ho -7.9476 3.1076 -1.0412
Sm 0.9586 -3.9164 -3.7611
Ho -0.7786 -6.1732 -1.8539
```

Values from the calculation:
Fermi-level density of states: 20.81 states/eV/cell
Raw total energy: -4.12 eV per atom



Record 2
Here is crystalline Pr2SmHo6 at its relaxed geometry from the Alexandria database. Energies are from GGA-PBE.

The structure in extended XYZ format:
```
9
Lattice="3.4500 0.0039 0.6135 0.9502 8.6116 4.5793 0.0326 -0.2642 9.7960" Properties=species:S:1:pos:R:3 pbc="T T T"
Ho 3.1624 2.9632 2.1865
Ho 1.2703 5.3882 12.8023
Ho 1.5760 8.3451 11.0644
Ho 2.8567 0.0063 3.9244
Pr 3.5580 5.4829 9.9545
Ho 2.3898 5.8529 6.5086
Sm 0.0000 0.0000 0.0000
Ho 2.0430 2.4985 8.4802
Pr 0.8747 2.8685 5.0343
```

Values from the calculation:
Fermi-level density of states: 14.27 states/eV/cell
Offset from the most stable computed form: 0 meV per atom



Record 3
Here is crystalline PrSm6Ho12 at its relaxed geometry from the Alexandria database. Energies are from GGA-PBE.

The structure in extended XYZ format:
```
19
Lattice="8.3167 0.0000 2.6662 -4.1415 7.7692 3.3827 0.0336 0.0000 9.4315" Properties=species:S:1:pos:R:3 pbc="T T T"
Sm 6.5799 2.4472 8.0733
Sm -0.1833 6.1419 10.1184
Ho 3.0931 7.3641 9.4223
Sm 4.3920 1.6272 5.3619
Ho 3.7419 4.4985 7.4017
Ho 4.8560 4.9036 13.4594
Sm 2.6643 4.0744 10.7720
Sm 1.5444 3.6948 4.7083
Ho -0.6474 2.8655 2.0210
Ho 3.3147 1.2280 8.7477
Pr 0.0000 0.0000 0.0000
Ho 0.4668 3.2706 8.0786
Sm -2.3712 5.3220 7.4071
Ho 2.0090 6.9517 12.7906
Ho -1.2926 5.7238 4.0471
Ho 0.8939 6.5412 6.7327
Ho 2.1997 0.8174 2.6898
Ho 1.1155 0.4051 6.0581
Ho 5.5013 2.0454 11.4333
```

Values from the calculation:
Fermi-level density of states: 24.77 states/eV/cell
Offset from the most stable computed form: 0 meV per atom



Record 4
Here is crystalline Pr2Sm8Ho at its relaxed geometry from the Alexandria database. Energies are from GGA-PBE.

The structure in extended XYZ format:
```
11
Lattice="-1.4671 -3.1416 -3.7935 5.9214 2.9482 -4.7317 4.5188 -5.5968 6.3689" Properties=species:S:1:pos:R:3 pbc="T T T"
Pr 3.4828 -4.4178 -1.1695
Ho -0.7335 -1.5708 -1.8967
Pr 5.4904 -1.3725 -0.9867
Sm 4.3195 -7.2956 0.8902
Sm 2.0784 -1.4098 0.3638
Sm 2.6219 -1.5242 -3.2330
Sm 6.3513 -4.2660 1.0767
Sm 6.8948 -4.3804 -2.5200
Sm 4.6537 1.5053 -3.0464
Sm 2.9545 -4.3054 2.4230
Sm 6.0186 -1.4848 -4.5793
```

Values from the calculation:
Fermi-level density of states: 16.54 states/eV/cell
Offset from the most stable computed form: 0 meV per atom



Record 5
Here is crystalline Pr6SmHo5 at its relaxed geometry from the Alexandria database. Energies are from GGA-PBE.

The structure in extended XYZ format:
```
12
Lattice="11.3132 -0.7940 0.0000 2.6649 4.4204 0.0000 1.3324 2.2102 7.7648" Properties=species:S:1:pos:R:3 pbc="T T T"
Ho 8.3214 4.0234 2.5873
Ho 6.9890 1.8132 0.0000
Pr 9.1414 0.5140 2.5917
Pr 10.4738 2.7242 5.1731
Ho 1.3324 2.2102 2.6022
Ho 6.9890 1.8132 5.1775
Sm 0.0000 0.0000 0.0000
Ho 2.6649 4.4204 5.1626
Pr 3.5068 0.9003 0.0000
Pr 10.4712 2.7261 0.0000
Pr 6.1691 5.3227 5.1731
Pr 4.8367 3.1124 2.5917
```

Values from the calculation:
Fermi-level density of states: 16.28 states/eV/cell
Raw total energy: -4.67 eV per atom



Record 6
Here is crystalline Pr8SmHo2 at its relaxed geometry from the Alexandria database. Energies are from GGA-PBE.

The structure in extended XYZ format:
```
11
Lattice="-4.5449 3.4431 0.7907 -4.9214 -5.6310 -3.7671 3.2999 -2.4417 8.6457" Properties=species:S:1:pos:R:3 pbc="T T T"
Pr -0.0350 -1.4149 5.9601
Pr -2.0442 -3.7139 4.4222
Pr -5.6987 -3.4759 3.3338
Pr -3.4756 -3.9768 -2.6603
Pr -4.1222 -0.9157 1.2471
Ho -3.0343 -4.2307 0.9816
Pr -2.6908 -0.6528 8.3296
Ho -3.1321 -0.3989 4.6877
Pr -0.4677 -1.1537 2.3355
Sm -2.2724 1.7216 0.3954
Pr -6.1315 -3.2147 -0.2908
```

Values from the calculation:
Fermi-level density of states: 15.96 states/eV/cell
Offset from the most stable computed form: 0 meV per atom



Record 7
Here is crystalline PrSm3Ho6 at its relaxed geometry from the Alexandria database. Energies are from GGA-PBE.

The structure in extended XYZ format:
```
10
Lattice="1.2502 9.8067 -0.5083 -6.4104 6.0472 4.5090 0.4399 5.1760 4.5500" Properties=species:S:1:pos:R:3 pbc="T T T"
Sm -0.5412 5.2253 3.0890
Ho 0.7881 11.7075 3.5963
Ho -5.3566 9.2358 5.3044
Ho -0.6197 8.5372 2.0997
Sm -3.3120 10.5628 2.8580
Ho -2.4083 13.8374 3.4799
Pr -4.5096 15.8212 4.9694
Ho -2.1261 7.2797 5.4038
Sm -1.7088 10.4822 5.2453
Ho -3.8072 12.4603 6.7077
```

Values from the calculation:
Fermi-level density of states: 20.80 states/eV/cell
Offset from the most stable computed form: 139 meV per atom



Record 8
Here is crystalline Pr8Sm3Ho at its relaxed geometry from the Alexandria database. Energies are from GGA-PBE.

The structure in extended XYZ format:
```
12
Lattice="-4.1292 6.7779 3.2921 0.0221 -7.2792 4.5652 8.5677 0.3937 -0.5145" Properties=species:S:1:pos:R:3 pbc="T T T"
Pr 0.0435 1.6879 2.6232
Pr 5.3909 -6.1266 3.6746
Sm 0.0939 -1.9720 4.9413
Pr 2.1778 -0.8834 2.3296
Sm 4.2949 -3.4427 2.0254
Pr 7.5156 -4.2189 2.4117
Pr 2.3548 5.2346 4.0576
Sm 4.3667 1.8644 2.4015
Ho 0.0000 0.0000 0.0000
Pr 4.3396 -1.7331 4.6830
Pr -2.0338 4.2360 2.9776
Pr -1.9457 1.3733 6.6138
```

Values from the calculation:
Fermi-level density of states: 19.09 states/eV/cell
Raw total energy: -4.20 eV per atom